Density functional theory data (PBE) for a geometry-optimized SrVWSe2 structure.

abc: 5.580 5.580 5.718
angles: 90.00 90.00 90.00
Sites, in units of the cell vectors:
Sr  0.000  0.000  0.000
V  0.500  0.500  0.500
W  0.000  0.000  0.500
Se  0.000  0.500  0.000
Se  0.500  0.000  0.000

Calculated values
**Mass density**: 4.48 Mg/m³
**Uncorrected formation energy**: 2122 meV/atom

---

Density functional theory data (PBE) for a geometry-optimized SrWSe2 structure.

abc: 3.347 3.347 31.132
angles: 90.00 90.00 120.00
Sites, in units of the cell vectors:
Sr  0.000  0.000  0.000
Sr  0.333  0.667  0.667
Sr  0.667  0.333  0.333
W  0.000  0.000  0.756
W  0.333  0.667  0.422
W  0.667  0.333  0.089
Se  0.000  0.000  0.258
Se  0.000  0.000  0.476
Se  0.333  0.667  0.142
Se  0.333  0.667  0.925
Se  0.667  0.333  0.592
Se  0.667  0.333  0.809

Calculated values
**Mass density**: 7.08 Mg/m³
**Uncorrected formation energy**: 163 meV/atom

---

Density functional theory data (PBE) for a geometry-optimized SrW3Se structure.

abc: 4.765 4.765 4.765
angles: 90.00 90.00 90.00
Sites, in units of the cell vectors:
Sr  0.000  0.000  0.000
W  0.000  0.500  0.500
W  0.500  0.000  0.500
W  0.500  0.500  0.000
Se  0.500  0.500  0.500

Calculated values
**Mass density**: 11.02 Mg/m³
**Uncorrected formation energy**: 1450 meV/atom